Density functional theory data (PBE-GGA) for crystalline Ti3V3Ru2 at its relaxed geometry.

Cell: 6.9748 6.9748 2.9321 Å, 90.00 90.00 120.00°
With the nearest neighbours (Å) after each atom.
Space group P-62m (No. 189)
Asymmetric unit:
Ti (0.0000, 0.4246, 0.0000) x3  4 Ru 2.55
V (0.0000, 0.7938, 0.5000) x3  2 V 2.49
Ru (0.3333, 0.6667, 0.5000) x2  6 Ti 2.55

## Properties
The formation energy from the elements comes out at 0 kJ/mol of atoms. As for the final energy: -8.70 eV/atom.



Density functional theory data (PBE-GGA) for crystalline Sm2DyEr4 at its relaxed geometry.

Cell: 6.0575 6.5680 11.5750 Å, 90.00 104.99 90.00°
With the nearest neighbours (Å) after each atom.
Space group P2_1/m (No. 11)
Asymmetric unit:
Sm (0.1016, 0.2500, 0.4920) x2  2 Dy 3.31-3.42, 3 Er 3.40-3.63, 2 Sm 3.53
Sm (0.3467, 0.7500, 0.0527) x2  9 Er 3.28-3.49
Dy (0.4735, 0.7500, 0.6399) x2  2 Sm 3.31-3.42, 6 Er 3.34-3.44
Er (0.1565, 0.0047, 0.7890) x4  4 Er 3.22-3.49, 1 Dy 3.34, 2 Sm 3.41-3.49
Er (0.2154, 0.2500, 0.0757) x2  1 Dy 3.34, 4 Sm 3.34-3.41, 4 Er 3.49-3.62
Er (0.3512, 0.7500, 0.3363) x2  2 Sm 3.28-3.40, 3 Dy 3.40-3.44, 2 Er 3.44

## Properties
The formation energy from the elements comes out at 13 kJ/mol of atoms. The energy above the most stable polymorph in this dataset is 88.7 meV/atom. As for the final energy: -4.48 eV/atom.



Density functional theory data (PBE-GGA) for crystalline KAgF3 at its relaxed geometry.

Cell: 4.4505 4.4505 4.4505 Å, 90.00 90.00 90.00°
With the nearest neighbours (Å) after each atom.
Space group Pm-3m (No. 221)
Asymmetric unit:
K (0.0000, 0.0000, 0.0000) x1  6 F 2.23
Ag (0.5000, 0.5000, 0.5000) x1  12 F 3.15
F (0.0000, 0.0000, 0.5000) x3  2 K 2.23

## Properties
For the formation energy from raw total energies, the calculation gives -0.982 eV/atom. As for the final energy: -2.89 eV/atom.



Q: Which of these has the lowest final energy?
A: Ti3V3Ru2



What did the first record say?
Density functional theory data (PBE-GGA) for crystalline Ti3V3Ru2 at its relaxed geometry.

Cell: 6.9748 6.9748 2.9321 Å, 90.00 90.00 120.00°
With the nearest neighbours (Å) after each atom.
Space group P-62m (No. 189)
Asymmetric unit:
Ti (0.0000, 0.4246, 0.0000) x3  4 Ru 2.55
V (0.0000, 0.7938, 0.5000) x3  2 V 2.49
Ru (0.3333, 0.6667, 0.5000) x2  6 Ti 2.55

## Properties
The formation energy from the elements comes out at 0 kJ/mol of atoms. As for the final energy: -8.70 eV/atom.



Q: The highest final energy belongs to which entry?
A: KAgF3